A relaxed structure of Cd2Pd12Au5, computed with PBE.

## Properties
SG ... C2/m, No. 12
Energy ... -81.9 eV per cell
Energy above the most stable polymorph in this dataset ... 0 meV per atom
ΔH_f (0 K) ... -0.070 eV/atom

Cell lengths 5.062, 8.443, 8.443 Å; angles 66.75, 78.64, 78.64 degrees
Atoms (fractional coordinates):
Cd 0.000 0.781 0.219
Pd 0.290 0.447 0.447
Pd 0.800 0.458 0.944
Pd 0.600 0.648 0.150
Pd 0.400 0.850 0.352
Pd 0.710 0.553 0.553
Cd 0.000 0.219 0.781
Pd 0.600 0.150 0.648
Pd 0.800 0.944 0.458
Au 0.122 0.654 0.654
Pd 0.200 0.056 0.542
Pd 0.953 0.857 0.857
Pd 0.400 0.352 0.850
Au 0.500 0.000 0.000
Pd 0.047 0.143 0.143
Au 0.492 0.226 0.226
Au 0.878 0.346 0.346
Au 0.508 0.774 0.774
Pd 0.200 0.542 0.056